No. 1
A relaxed structure of Pm5Ge2O12. Source: Alexandria, functional PBE.

Summary:
Space-group type: C2/m
Calculated total energy (eV/cell): -145.81
Energy relative to the elements, uncorrected (eV per atom): -2.806
DOS at the Fermi energy (states/eV/cell): 12.4

```
data_Pm5Ge2O12
_space_group_name_H-M_alt 'P 1'
_space_group_IT_number 1
_space_group_name_Hall 'P 1'
_cell_length_a 5.9162
_cell_length_b 6.9681
_cell_length_c 7.5293
_cell_angle_alpha 105.54
_cell_angle_beta 90.00
_cell_angle_gamma 115.12
loop_
_atom_site_label
_atom_site_fract_x
_atom_site_fract_y
_atom_site_fract_z
_atom_site_occupancy
Pm1 0.3075 0.6149 0.6434 1
Pm2 0.3051 0.6103 0.1630 1
Pm3 0.0000 0.0000 0.5000 1
Pm4 0.6949 0.3897 0.8370 1
Pm5 0.6925 0.3851 0.3566 1
Ge1 0.7555 0.0000 0.0000 1
Ge2 0.2445 0.0000 0.0000 1
O1 0.0011 0.0022 0.1741 1
O2 0.1023 0.6873 0.9226 1
O3 0.5850 0.6873 0.9226 1
O4 0.0950 0.6913 0.4219 1
O5 0.5963 0.6913 0.4219 1
O6 0.5009 0.0019 0.8270 1
O7 0.4991 0.9981 0.1730 1
O8 0.9050 0.3087 0.5781 1
O9 0.4037 0.3087 0.5781 1
O10 0.8977 0.3127 0.0774 1
O11 0.4150 0.3127 0.0774 1
O12 0.9989 0.9978 0.8259 1
```

No. 2
A relaxed structure of Pm3GeO. Source: Alexandria, functional PBE.

Summary:
Space-group type: P2_1/c
Calculated total energy (eV/cell): -122.30
Energy relative to the elements, uncorrected (eV per atom): -1.350
Excess energy over the best structure of this formula in the dataset (meV per atom): 36.7
DOS at the Fermi energy (states/eV/cell): 15.1

```
data_Pm3GeO
_space_group_name_H-M_alt 'P 1'
_space_group_IT_number 1
_space_group_name_Hall 'P 1'
_cell_length_a 6.2099
_cell_length_b 8.8484
_cell_length_c 9.1614
_cell_angle_alpha 111.96
_cell_angle_beta 90.00
_cell_angle_gamma 90.00
loop_
_atom_site_label
_atom_site_fract_x
_atom_site_fract_y
_atom_site_fract_z
_atom_site_occupancy
Pm1 0.1020 0.6513 0.9414 1
Pm2 0.8980 0.3487 0.0586 1
Pm3 0.6020 0.8487 0.0586 1
Pm4 0.3980 0.1513 0.9414 1
Pm5 0.5877 0.4488 0.8114 1
Pm6 0.4123 0.5512 0.1886 1
Pm7 0.0877 0.0512 0.1886 1
Pm8 0.9123 0.9488 0.8114 1
Pm9 0.1202 0.2326 0.6279 1
Pm10 0.8798 0.7674 0.3721 1
Pm11 0.6202 0.2674 0.3721 1
Pm12 0.3798 0.7326 0.6279 1
Ge1 0.8685 0.5887 0.6229 1
Ge2 0.1315 0.4113 0.3771 1
Ge3 0.3685 0.9113 0.3771 1
Ge4 0.6315 0.0887 0.6229 1
O1 0.2424 0.3899 0.9250 1
O2 0.7576 0.6101 0.0750 1
O3 0.7424 0.1101 0.0750 1
O4 0.2576 0.8899 0.9250 1
```

Please write out number 2 again, unchanged.
A relaxed structure of Pm3GeO. Source: Alexandria, functional PBE.

Summary:
Space-group type: P2_1/c
Calculated total energy (eV/cell): -122.30
Energy relative to the elements, uncorrected (eV per atom): -1.350
Excess energy over the best structure of this formula in the dataset (meV per atom): 36.7
DOS at the Fermi energy (states/eV/cell): 15.1

```
data_Pm3GeO
_space_group_name_H-M_alt 'P 1'
_space_group_IT_number 1
_space_group_name_Hall 'P 1'
_cell_length_a 6.2099
_cell_length_b 8.8484
_cell_length_c 9.1614
_cell_angle_alpha 111.96
_cell_angle_beta 90.00
_cell_angle_gamma 90.00
loop_
_atom_site_label
_atom_site_fract_x
_atom_site_fract_y
_atom_site_fract_z
_atom_site_occupancy
Pm1 0.1020 0.6513 0.9414 1
Pm2 0.8980 0.3487 0.0586 1
Pm3 0.6020 0.8487 0.0586 1
Pm4 0.3980 0.1513 0.9414 1
Pm5 0.5877 0.4488 0.8114 1
Pm6 0.4123 0.5512 0.1886 1
Pm7 0.0877 0.0512 0.1886 1
Pm8 0.9123 0.9488 0.8114 1
Pm9 0.1202 0.2326 0.6279 1
Pm10 0.8798 0.7674 0.3721 1
Pm11 0.6202 0.2674 0.3721 1
Pm12 0.3798 0.7326 0.6279 1
Ge1 0.8685 0.5887 0.6229 1
Ge2 0.1315 0.4113 0.3771 1
Ge3 0.3685 0.9113 0.3771 1
Ge4 0.6315 0.0887 0.6229 1
O1 0.2424 0.3899 0.9250 1
O2 0.7576 0.6101 0.0750 1
O3 0.7424 0.1101 0.0750 1
O4 0.2576 0.8899 0.9250 1
```

Look up the DOS at the Fermi energy of the first one.
12.4 states/eV/cell

Which value of calculated total energy does entry 2 give?
-122.30 eV/cell